An optimized crystal structure of Ba2ZnRhO4, computed with PBE.

VASP energy: -351.2 eV per cell
volume: 18.50 Å³/atom
formation energy from raw total energies: -1449 meV/atom
D(E_F): 22.7 states/eV per cell

Lattice parameters (Å, degrees): 5.085 12.423 18.746 90.00 90.00 90.00
Space group Fddd (No. 70, origin choice 2)
Symmetry-distinct sites (fractional):
Ba  0.125  0.125  0.301 (multiplicity 16)
Zn  0.125  0.125  0.625 (multiplicity 8)
Rh  0.125  0.125  0.125 (multiplicity 8)
O  0.122  0.255  0.410 (multiplicity 32)